SrSn3Rh3 | GGA-PBE | optimized geometry

Calculated values
DFT formation energy = -2.53 eV/f.u.
Symmetry = R-3, No. 148

abc: 7.251 7.251 8.833
angles: 65.77 65.77 60.00
Fractional positions:
Sr 0.332 0.332 0.004
Sr 0.668 0.668 0.996
Sn 0.204 0.658 0.322
Sn 0.816 0.204 0.322
Sn 0.658 0.816 0.322
Sn 0.342 0.184 0.678
Sn 0.184 0.796 0.678
Sn 0.796 0.342 0.678
Rh 0.562 0.772 0.657
Rh 0.772 0.009 0.657
Rh 0.009 0.562 0.657
Rh 0.991 0.438 0.343
Rh 0.228 0.991 0.343
Rh 0.438 0.228 0.343



MnSi2Ag | GGA-PBE | optimized geometry

Calculated values
Raw total energy = -5.6353 eV per atom
Symmetry = C2/m, No. 12

abc: 4.175 4.175 5.180
angles: 80.76 80.76 40.60
Fractional positions:
Ag 0.250 0.250 0.250
Mn 0.750 0.750 0.750
Si 0.018 0.018 0.934
Si 0.482 0.482 0.566



Ga2SnHgIr | GGA-PBE | optimized geometry

Calculated values
DFT formation energy = -0.70 eV/f.u.
Symmetry = P4/mmm, No. 123

abc: 4.831 4.831 5.277
angles: 90.00 90.00 90.00
Fractional positions:
Ir 0.000 0.000 0.000
Hg 0.500 0.500 0.500
Ga 0.000 0.500 0.000
Ga 0.500 0.000 0.000
Sn 0.000 0.000 0.500



LiHSeBrF | GGA-PBE | optimized geometry

Calculated values
Raw total energy = -3.5050 eV per atom
Symmetry = P1, No. 1

abc: 3.273 5.538 6.846
angles: 109.55 103.75 90.01
Fractional positions:
Li 0.509 0.821 0.994
H 0.183 0.990 0.345
Se 0.310 0.101 0.601
Br 0.306 0.595 0.592
F 0.072 0.889 0.120



no.,D(E_F) (states/eV per cell)
1,10.483
2,2.384
3,2.076
4,1.526